First-principles (GGA-PBE) data for a geometry-optimized NaSn2RhCl structure, as listed in Alexandria via LeMat-Bulk.

Summary:
**Final energy**: -3.289 eV/atom
**Volume**: 131.90 Å³/cell
**Crystal system**: tetragonal
**Energy relative to the elements, uncorrected**: 416 meV per atom

Structure (POSCAR):
```
NaSn2RhCl
1.0
5.3449 0.0000 0.0000
0.0000 5.3449 0.0000
0.0000 0.0000 4.6170
Na Sn Rh Cl
1 2 1 1
Direct
0.0000 0.0000 0.0000
0.0000 0.5000 0.5000
0.5000 0.0000 0.5000
0.5000 0.5000 0.0000
0.0000 0.0000 0.5000
```

=====

First-principles (GGA-PBE) data for a geometry-optimized HOsNO structure, as listed in Alexandria via LeMat-Bulk.

Summary:
**Final energy**: -6.972 eV/atom
**Volume**: 47.33 Å³/cell
**Offset from the most stable computed form**: 188 meV per atom
**Crystal system**: monoclinic

Structure (POSCAR):
```
HOsNO
1.0
3.3315 -1.3813 0.0000
3.3315 1.3813 0.0000
-3.1596 0.0000 5.1419
H Os N O
1 1 1 1
Direct
0.0000 0.0000 0.0000
0.8686 0.8686 0.3141
0.5999 0.5999 0.3745
0.1612 0.1612 0.0267
```

=====

First-principles (GGA-PBE) data for a geometry-optimized SrPrC4 structure, as listed in Alexandria via LeMat-Bulk.

Summary:
**Final energy**: -7.249 eV/atom
**Volume**: 105.33 Å³/cell
**Crystal system**: monoclinic
**ΔE_f**: -0.0224 eV per atom

Structure (POSCAR):
```
SrPrC4
1.0
3.8274 -1.9849 0.0000
3.8274 1.9849 0.0000
-3.6725 0.0000 6.9325
Sr Pr C
1 1 4
Direct
0.0000 0.0000 0.0000
0.5000 0.5000 0.5000
0.1940 0.1940 0.7843
0.2902 0.2902 0.6875
0.7098 0.7098 0.3125
0.8060 0.8060 0.2157
```

=====

First-principles (GGA-PBE) data for a geometry-optimized Sr2BeBr structure, as listed in Alexandria via LeMat-Bulk.

Summary:
**Final energy**: -2.222 eV/atom
**Volume**: 168.23 Å³/cell
**Offset from the most stable computed form**: 443 meV per atom
**Crystal system**: trigonal
**Energy relative to the elements, uncorrected**: -31 meV per atom

Structure (POSCAR):
```
Sr2BeBr
1.0
2.1400 1.2355 10.6039
-2.1400 1.2355 10.6039
0.0000 -2.4711 10.6039
Sr Be Br
2 1 1
Direct
0.0000 0.0000 0.0000
0.2198 0.2198 0.2198
0.4922 0.4922 0.4922
0.7236 0.7236 0.7236
```

=====

First-principles (GGA-PBE) data for a geometry-optimized Pr2ScBr structure, as listed in Alexandria via LeMat-Bulk.

Summary:
**Final energy**: -4.678 eV/atom
**Volume**: 120.73 Å³/cell
**Offset from the most stable computed form**: 165 meV per atom
**Crystal system**: trigonal
**Energy relative to the elements, uncorrected**: -287 meV per atom

Structure (POSCAR):
```
Pr2ScBr
1.0
1.7501 1.0104 11.3783
-1.7501 1.0104 11.3783
0.0000 -2.0209 11.3783
Pr Sc Br
2 1 1
Direct
0.0946 0.0946 0.0946
0.9054 0.9054 0.9054
0.0000 0.0000 0.0000
0.5000 0.5000 0.5000
```

=====

First-principles (GGA-PBE) data for a geometry-optimized Te2As structure, as listed in Alexandria via LeMat-Bulk.

Summary:
**Final energy**: -3.589 eV/atom
**Volume**: 85.21 Å³/cell
**Offset from the most stable computed form**: 16 meV per atom
**Crystal system**: trigonal
**Energy relative to the elements, uncorrected**: 55 meV per atom

Structure (POSCAR):
```
Te2As
1.0
4.2901 0.0000 0.0000
-2.1451 3.7154 0.0000
0.0000 0.0000 5.3461
Te As
2 1
Direct
0.3333 0.6667 0.3017
0.6667 0.3333 0.6983
0.0000 0.0000 0.0000
```

=====

First-principles (GGA-PBE) data for a geometry-optimized ZnCrHg2 structure, as listed in Alexandria via LeMat-Bulk.

Summary:
**Final energy**: -2.566 eV/atom
**Volume**: 77.36 Å³/cell
**Offset from the most stable computed form**: 19 meV per atom
**Crystal system**: monoclinic
**ΔE_f**: 0.3089 eV per atom

Structure (POSCAR):
```
ZnCrHg2
1.0
5.0346 -1.6406 0.0000
5.0346 1.6406 0.0000
-1.4082 0.0000 4.6831
Zn Cr Hg
1 1 2
Direct
0.0000 0.0000 0.0000
0.2802 0.2802 0.7303
0.5307 0.5307 0.5362
0.7557 0.7557 0.2108
```

=====

First-principles (GGA-PBE) data for a geometry-optimized AcLaGa2Rh2 structure, as listed in Alexandria via LeMat-Bulk.

Summary:
**Final energy**: -5.729 eV/atom
**Volume**: 139.49 Å³/cell
**Crystal system**: trigonal
**ΔE_f**: -0.7640 eV per atom

Structure (POSCAR):
```
AcLaGa2Rh2
1.0
4.4267 0.0000 0.0000
-2.2133 3.8336 0.0000
0.0000 0.0000 8.2199
Ac La Ga Rh
1 1 2 2
Direct
0.0000 0.0000 0.0000
0.0000 0.0000 0.5000
0.3333 0.6667 0.2627
0.6667 0.3333 0.7373
0.3333 0.6667 0.7344
0.6667 0.3333 0.2656
```